TaCoNi2O6 GGA+U optimized geometry; space-group type = P1; total energy = -6.804 eV per atom
1.0
-1.563 2.150 -4.407
0.277 -2.611 -4.420
-4.725 -1.854 -2.229
O Ta Co Ni
6 1 1 2
direct
0.217 0.939 0.247
0.430 0.711 0.753
0.704 0.105 0.757
0.936 0.597 0.248
0.094 0.440 0.752
0.598 0.212 0.257
0.323 0.314 0.054
0.820 0.804 0.561
0.021 0.018 0.941
0.520 0.521 0.444